(1)
# BeSiSe | Alexandria | PBE | optimized geometry
data_BeSiSe
_chemical_formula_sum 'Be4 Si4 Se4'
_space_group_name_H-M_alt 'P 1'
_space_group_IT_number 1
_cell_length_a 3.738
_cell_length_b 11.779
_cell_length_c 5.572
_cell_angle_alpha 90.00
_cell_angle_beta 90.00
_cell_angle_gamma 90.00
loop_
_space_group_symop_operation_xyz
'x,y,z'
loop_
_atom_site_label
_atom_site_type_symbol
_atom_site_fract_x
_atom_site_fract_y
_atom_site_fract_z
_atom_site_occupancy
Be1 Be 0.250 0.198 0.988 1
Be2 Be 0.750 0.802 0.988 1
Be3 Be 0.250 0.698 0.488 1
Be4 Be 0.750 0.302 0.488 1
Si1 Si 0.250 0.058 0.716 1
Si2 Si 0.750 0.442 0.216 1
Si3 Si 0.750 0.942 0.716 1
Si4 Si 0.250 0.558 0.216 1
Se1 Se 0.250 0.198 0.394 1
Se2 Se 0.750 0.302 0.894 1
Se3 Se 0.250 0.698 0.894 1
Se4 Se 0.750 0.802 0.394 1
# Raw formation energy (eV per atom): -0.24
# Crystal system: orthorhombic
# DOS at the Fermi energy (states/eV per atom): 0.00

(2)
# CrMo2Pb | Alexandria | PBE | optimized geometry
data_CrMo2Pb
_chemical_formula_sum 'Cr1 Mo2 Pb1'
_space_group_name_H-M_alt 'P 1'
_space_group_IT_number 1
_cell_length_a 4.042
_cell_length_b 2.975
_cell_length_c 6.214
_cell_angle_alpha 67.44
_cell_angle_beta 90.00
_cell_angle_gamma 90.00
loop_
_space_group_symop_operation_xyz
'x,y,z'
loop_
_atom_site_label
_atom_site_type_symbol
_atom_site_fract_x
_atom_site_fract_y
_atom_site_fract_z
_atom_site_occupancy
Mo1 Mo 0.000 0.555 0.550 1
Mo2 Mo 0.000 0.945 0.950 1
Pb1 Pb 0.500 0.250 0.250 1
Cr1 Cr 0.500 0.750 0.750 1
# Formation energy from the elements (eV/atom): 0.555
# Crystal system: monoclinic
# DOS at the Fermi energy (states/eV per atom): 0.87

(3)
# ZnCd3In | Alexandria | PBE | optimized geometry
data_ZnCd3In
_chemical_formula_sum 'Zn1 Cd3 In1'
_space_group_name_H-M_alt 'P 1'
_space_group_IT_number 1
_cell_length_a 5.130
_cell_length_b 5.130
_cell_length_c 5.130
_cell_angle_alpha 90.00
_cell_angle_beta 90.00
_cell_angle_gamma 90.00
loop_
_space_group_symop_operation_xyz
'x,y,z'
loop_
_atom_site_label
_atom_site_type_symbol
_atom_site_fract_x
_atom_site_fract_y
_atom_site_fract_z
_atom_site_occupancy
Cd1 Cd 0.500 0.000 0.000 1
Cd2 Cd 0.000 0.500 0.000 1
Cd3 Cd 0.000 0.000 0.500 1
In1 In 0.500 0.500 0.500 1
Zn1 Zn 0.000 0.000 0.000 1
# Formation energy from the elements (eV/atom): 0.219
# Crystal system: cubic
# DOS at the Fermi energy (states/eV per atom): 0.42

(4)
# AgSeIN2 | Alexandria | PBE | optimized geometry
data_AgSeIN2
_chemical_formula_sum 'Ag1 Se1 I1 N2'
_space_group_name_H-M_alt 'P 1'
_space_group_IT_number 1
_cell_length_a 4.200
_cell_length_b 4.200
_cell_length_c 6.287
_cell_angle_alpha 90.00
_cell_angle_beta 90.00
_cell_angle_gamma 90.00
loop_
_space_group_symop_operation_xyz
'x,y,z'
loop_
_atom_site_label
_atom_site_type_symbol
_atom_site_fract_x
_atom_site_fract_y
_atom_site_fract_z
_atom_site_occupancy
N1 N 0.500 0.000 0.000 1
N2 N 0.000 0.500 0.000 1
Ag1 Ag 0.000 0.000 0.000 1
I1 I 0.500 0.500 0.500 1
Se1 Se 0.000 0.000 0.500 1
# Raw formation energy (eV per atom): 1.74
# Crystal system: tetragonal
# DOS at the Fermi energy (states/eV per atom): 0.49

(5)
# Nb2CuSb2 | Alexandria | PBE | optimized geometry
data_Nb2CuSb2
_chemical_formula_sum 'Nb4 Cu2 Sb4'
_space_group_name_H-M_alt 'P 1'
_space_group_IT_number 1
_cell_length_a 7.324
_cell_length_b 7.324
_cell_length_c 3.749
_cell_angle_alpha 90.00
_cell_angle_beta 90.00
_cell_angle_gamma 90.00
loop_
_space_group_symop_operation_xyz
'x,y,z'
loop_
_atom_site_label
_atom_site_type_symbol
_atom_site_fract_x
_atom_site_fract_y
_atom_site_fract_z
_atom_site_occupancy
Nb1 Nb 0.144 0.356 0.000 1
Nb2 Nb 0.356 0.856 0.000 1
Nb3 Nb 0.856 0.644 0.000 1
Nb4 Nb 0.644 0.144 0.000 1
Sb1 Sb 0.655 0.845 0.500 1
Sb2 Sb 0.845 0.345 0.500 1
Sb3 Sb 0.155 0.655 0.500 1
Sb4 Sb 0.345 0.155 0.500 1
Cu1 Cu 0.500 0.500 0.000 1
Cu2 Cu 0.000 0.000 0.000 1
# Raw formation energy (eV per atom): 0.02
# Crystal system: tetragonal
# DOS at the Fermi energy (states/eV per atom): 0.96

(6)
# Cd2BiSb2 | Alexandria | PBE | optimized geometry
data_Cd2BiSb2
_chemical_formula_sum 'Cd4 Bi2 Sb4'
_space_group_name_H-M_alt 'P 1'
_space_group_IT_number 1
_cell_length_a 4.882
_cell_length_b 9.091
_cell_length_c 8.865
_cell_angle_alpha 110.94
_cell_angle_beta 90.00
_cell_angle_gamma 105.57
loop_
_space_group_symop_operation_xyz
'x,y,z'
loop_
_atom_site_label
_atom_site_type_symbol
_atom_site_fract_x
_atom_site_fract_y
_atom_site_fract_z
_atom_site_occupancy
Sb1 Sb 0.483 0.967 0.828 1
Sb2 Sb 0.841 0.682 0.399 1
Sb3 Sb 0.517 0.033 0.172 1
Sb4 Sb 0.159 0.318 0.601 1
Bi1 Bi 0.710 0.420 0.062 1
Bi2 Bi 0.290 0.580 0.938 1
Cd1 Cd 0.051 0.103 0.777 1
Cd2 Cd 0.674 0.348 0.446 1
Cd3 Cd 0.949 0.897 0.223 1
Cd4 Cd 0.326 0.652 0.554 1
# Raw formation energy (eV per atom): 0.04
# Crystal system: monoclinic
# DOS at the Fermi energy (states/eV per atom): 0.11

(7)
# Na2CdIn2Sn2 | Alexandria | PBE | optimized geometry
data_Na2CdIn2Sn2
_chemical_formula_sum 'Na2 Cd1 In2 Sn2'
_space_group_name_H-M_alt 'P 1'
_space_group_IT_number 1
_cell_length_a 5.387
_cell_length_b 5.387
_cell_length_c 8.084
_cell_angle_alpha 70.54
_cell_angle_beta 70.54
_cell_angle_gamma 60.00
loop_
_space_group_symop_operation_xyz
'x,y,z'
loop_
_atom_site_label
_atom_site_type_symbol
_atom_site_fract_x
_atom_site_fract_y
_atom_site_fract_z
_atom_site_occupancy
In1 In 0.580 0.580 0.260 1
In2 In 0.420 0.420 0.740 1
Sn1 Sn 0.718 0.718 0.847 1
Sn2 Sn 0.282 0.282 0.153 1
Cd1 Cd 0.000 0.000 0.000 1
Na1 Na 0.862 0.862 0.415 1
Na2 Na 0.138 0.138 0.585 1
# Formation energy from the elements (eV/atom): -0.053
# Crystal system: trigonal
# DOS at the Fermi energy (states/eV per atom): 0.56

(8)
# LaSmGaAu | Alexandria | PBE | optimized geometry
data_LaSmGaAu
_chemical_formula_sum 'La1 Sm1 Ga1 Au1'
_space_group_name_H-M_alt 'P 1'
_space_group_IT_number 1
_cell_length_a 5.290
_cell_length_b 5.290
_cell_length_c 5.290
_cell_angle_alpha 60.00
_cell_angle_beta 60.00
_cell_angle_gamma 60.00
loop_
_space_group_symop_operation_xyz
'x,y,z'
loop_
_atom_site_label
_atom_site_type_symbol
_atom_site_fract_x
_atom_site_fract_y
_atom_site_fract_z
_atom_site_occupancy
La1 La 0.500 0.500 0.500 1
Sm1 Sm 0.000 0.000 0.000 1
Au1 Au 0.750 0.750 0.750 1
Ga1 Ga 0.250 0.250 0.250 1
# Formation energy from the elements (eV/atom): -0.637
# Crystal system: cubic
# DOS at the Fermi energy (states/eV per atom): 0.95

(9)
# Li2PbC | Alexandria | PBE | optimized geometry
data_Li2PbC
_chemical_formula_sum 'Li2 Pb1 C1'
_space_group_name_H-M_alt 'P 1'
_space_group_IT_number 1
_cell_length_a 4.365
_cell_length_b 4.365
_cell_length_c 4.365
_cell_angle_alpha 60.00
_cell_angle_beta 60.00
_cell_angle_gamma 60.00
loop_
_space_group_symop_operation_xyz
'x,y,z'
loop_
_atom_site_label
_atom_site_type_symbol
_atom_site_fract_x
_atom_site_fract_y
_atom_site_fract_z
_atom_site_occupancy
Pb1 Pb 0.500 0.500 0.500 1
C1 C 0.000 0.000 0.000 1
Li1 Li 0.250 0.250 0.250 1
Li2 Li 0.750 0.750 0.750 1
# Formation energy from the elements (eV/atom): 0.847
# Crystal system: cubic
# DOS at the Fermi energy (states/eV per atom): 0.00

(10)
# TiFeCo3 | Alexandria | PBE | optimized geometry
data_TiFeCo3
_chemical_formula_sum 'Ti2 Fe2 Co6'
_space_group_name_H-M_alt 'P 1'
_space_group_IT_number 1
_cell_length_a 4.421
_cell_length_b 6.796
_cell_length_c 7.310
_cell_angle_alpha 36.14
_cell_angle_beta 65.85
_cell_angle_gamma 70.05
loop_
_space_group_symop_operation_xyz
'x,y,z'
loop_
_atom_site_label
_atom_site_type_symbol
_atom_site_fract_x
_atom_site_fract_y
_atom_site_fract_z
_atom_site_occupancy
Fe1 Fe 0.610 0.824 0.229 1
Fe2 Fe 0.390 0.176 0.771 1
Co1 Co 0.798 0.404 0.737 1
Co2 Co 0.582 0.789 0.767 1
Co3 Co 0.202 0.596 0.263 1
Co4 Co 0.418 0.211 0.233 1
Co5 Co 0.986 0.999 0.247 1
Co6 Co 0.014 0.001 0.753 1
Ti1 Ti 0.800 0.380 0.279 1
Ti2 Ti 0.200 0.620 0.721 1
# Formation energy from the elements (eV/atom): -0.090
# Crystal system: triclinic
# DOS at the Fermi energy (states/eV per atom): 1.35

(11)
# Pr4Sm15Er | Alexandria | PBE | optimized geometry
data_Pr4Sm15Er
_chemical_formula_sum 'Pr4 Sm15 Er1'
_space_group_name_H-M_alt 'P 1'
_space_group_IT_number 1
_cell_length_a 5.149
_cell_length_b 5.149
_cell_length_c 25.715
_cell_angle_alpha 90.00
_cell_angle_beta 90.00
_cell_angle_gamma 90.00
loop_
_space_group_symop_operation_xyz
'x,y,z'
loop_
_atom_site_label
_atom_site_type_symbol
_atom_site_fract_x
_atom_site_fract_y
_atom_site_fract_z
_atom_site_occupancy
Pr1 Pr 0.000 0.000 0.801 1
Pr2 Pr 0.000 0.000 0.199 1
Pr3 Pr 0.000 0.000 0.601 1
Pr4 Pr 0.000 0.000 0.399 1
Sm1 Sm 0.500 0.500 0.198 1
Sm2 Sm 0.500 0.500 0.600 1
Sm3 Sm 0.500 0.000 0.902 1
Sm4 Sm 0.500 0.000 0.299 1
Sm5 Sm 0.500 0.000 0.098 1
Sm6 Sm 0.000 0.500 0.902 1
Sm7 Sm 0.500 0.000 0.500 1
Sm8 Sm 0.500 0.500 0.802 1
Sm9 Sm 0.000 0.500 0.098 1
Sm10 Sm 0.500 0.500 0.400 1
Sm11 Sm 0.000 0.500 0.299 1
Sm12 Sm 0.000 0.500 0.701 1
Sm13 Sm 0.500 0.000 0.701 1
Sm14 Sm 0.000 0.500 0.500 1
Sm15 Sm 0.500 0.500 0.000 1
Er1 Er 0.000 0.000 0.000 1
# Formation energy from the elements (eV/atom): 0.017
# Crystal system: tetragonal
# DOS at the Fermi energy (states/eV per atom): 1.44

(12)
# TmThZnRu | Alexandria | PBE | optimized geometry
data_TmThZnRu
_chemical_formula_sum 'Tm1 Th1 Zn1 Ru1'
_space_group_name_H-M_alt 'P 1'
_space_group_IT_number 1
_cell_length_a 4.993
_cell_length_b 4.993
_cell_length_c 4.993
_cell_angle_alpha 60.00
_cell_angle_beta 60.00
_cell_angle_gamma 60.00
loop_
_space_group_symop_operation_xyz
'x,y,z'
loop_
_atom_site_label
_atom_site_type_symbol
_atom_site_fract_x
_atom_site_fract_y
_atom_site_fract_z
_atom_site_occupancy
Zn1 Zn 0.250 0.250 0.250 1
Ru1 Ru 0.750 0.750 0.750 1
Tm1 Tm 0.500 0.500 0.500 1
Th1 Th 0.000 0.000 0.000 1
# Formation energy from the elements (eV/atom): -0.349
# Crystal system: cubic
# DOS at the Fermi energy (states/eV per atom): 0.68